Entry 1:
Below is an optimized crystal structure of La2MnSbRu, with properties calculated at the GGA-PBEsol level.

POSCAR file:
```
La2MnSbRu
1.0
5.325 0.000 0.000
0.000 5.325 0.000
0.000 0.000 4.809
La Mn Sb Ru
2 1 1 1
direct
0.000 0.500 0.000
0.500 0.000 0.000
0.000 0.000 0.500
0.500 0.500 0.500
0.000 0.000 0.000
```

Summary:
The energy relative to the elements, uncorrected is -118 meV/atom.

***

Entry 2:
Below is an optimized crystal structure of SrTcP2, with properties calculated at the GGA-PBEsol level.

POSCAR file:
```
SrTcP2
1.0
2.038 1.177 5.175
-2.038 1.177 5.175
0.000 -2.354 5.175
Sr Tc P
1 1 2
direct
0.000 0.000 0.000
0.500 0.500 0.500
0.208 0.208 0.208
0.792 0.792 0.792
```

Summary:
The value obtained for the energy of formation from the pure elements is -60.4 kJ/mol of atoms. The calculation puts the distance to the lowest polymorph of the same formula at 0.0 kJ/mol of atoms.

***

Entry 3:
Below is an optimized crystal structure of CoHgTe2I, with properties calculated at the GGA-PBEsol level.

POSCAR file:
```
CoHgTe2I
1.0
4.944 0.000 0.000
0.000 4.944 0.000
0.000 0.000 5.376
Co Hg Te I
1 1 2 1
direct
0.000 0.000 0.000
0.500 0.500 0.500
0.000 0.500 0.000
0.500 0.000 0.000
0.000 0.000 0.500
```

Summary:
The energy relative to the elements, uncorrected is 326 meV/atom.

***

Entry 4:
Below is an optimized crystal structure of BaCaPt4, with properties calculated at the GGA-PBEsol level.

POSCAR file:
```
BaCaPt4
1.0
0.000 3.883 3.883
3.883 0.000 3.883
3.883 3.883 0.000
Ba Ca Pt
1 1 4
direct
0.000 0.000 0.000
0.750 0.750 0.750
0.376 0.376 0.376
0.376 0.376 0.873
0.376 0.873 0.376
0.873 0.376 0.376
```

Summary:
The value obtained for the energy of formation from the pure elements is -74.2 kJ/mol of atoms.

***

Entry 5:
Below is an optimized crystal structure of InRe4, with properties calculated at the GGA-PBEsol level.

POSCAR file:
```
InRe4
1.0
-2.025 2.025 5.528
2.025 -2.025 5.528
2.025 2.025 -5.528
In Re
1 4
direct
0.000 0.000 0.000
0.250 0.750 0.500
0.385 0.385 0.000
0.615 0.615 0.000
0.750 0.250 0.500
```

Summary:
The value obtained for the energy of formation from the pure elements is 50.4 kJ/mol of atoms.

***

Entry 6:
Below is an optimized crystal structure of Cr2Rh, with properties calculated at the GGA-PBEsol level.

POSCAR file:
```
Cr2Rh
1.0
4.035 0.000 0.000
-2.018 3.495 0.000
0.000 0.000 2.551
Cr Rh
2 1
direct
0.333 0.667 0.000
0.667 0.333 0.000
0.000 0.000 0.500
```

Summary:
The value obtained for the energy of formation from the pure elements is 8.2 kJ/mol of atoms.

***

Entry 7:
Below is an optimized crystal structure of TaCr2Te, with properties calculated at the GGA-PBEsol level.

POSCAR file:
```
TaCr2Te
1.0
1.542 0.890 7.750
-1.542 0.890 7.750
0.000 -1.781 7.750
Ta Cr Te
1 2 1
direct
0.000 0.000 0.000
0.252 0.252 0.252
0.748 0.748 0.748
0.500 0.500 0.500
```

Summary:
The energy relative to the elements, uncorrected is 522 meV/atom.

***

Entry 8:
Below is an optimized crystal structure of YCd2Se, with properties calculated at the GGA-PBEsol level.

POSCAR file:
```
YCd2Se
1.0
0.000 2.846 5.897
2.831 0.000 5.897
2.831 2.846 0.000
Y Cd Se
1 2 1
direct
0.000 0.000 0.000
0.000 0.500 0.000
0.500 0.000 0.500
0.500 0.500 0.500
```

Summary:
The energy relative to the elements, uncorrected is -711 meV/atom.

***

Entry 9:
Below is an optimized crystal structure of YZnTe2, with properties calculated at the GGA-PBEsol level.

POSCAR file:
```
YZnTe2
1.0
0.000 3.701 3.701
3.701 0.000 3.701
3.701 3.701 0.000
Y Zn Te
1 1 2
direct
0.000 0.000 0.000
0.750 0.750 0.750
0.250 0.250 0.250
0.500 0.500 0.500
```

Summary:
The energy relative to the elements, uncorrected is -306 meV/atom. The calculation puts the distance to the lowest polymorph of the same formula at 62.0 kJ/mol of atoms.

***

Entry 10:
Below is an optimized crystal structure of Te3C, with properties calculated at the GGA-PBEsol level.

POSCAR file:
```
Te3C
1.0
-1.531 3.520 4.652
1.531 -3.520 4.652
1.531 3.520 -4.652
Te C
3 1
direct
0.000 0.000 0.000
0.326 0.826 0.500
0.674 0.174 0.500
0.500 0.500 0.000
```

Summary:
The energy relative to the elements, uncorrected is 1116 meV/atom. The calculation puts the distance to the lowest polymorph of the same formula at 0.0 kJ/mol of atoms.

***

Entry 11:
Below is an optimized crystal structure of Li11Ge6, with properties calculated at the GGA-PBEsol level.

POSCAR file:
```
Li11Ge6
1.0
2.142 -12.203 0.000
2.142 12.203 0.000
0.000 0.000 10.498
Li Ge
22 12
direct
0.024 0.976 0.750
0.088 0.912 0.001
0.088 0.912 0.499
0.142 0.858 0.750
0.179 0.821 0.118
0.179 0.821 0.382
0.242 0.758 0.606
0.242 0.758 0.894
0.358 0.642 0.750
0.464 0.536 0.614
0.464 0.536 0.886
0.536 0.464 0.114
0.536 0.464 0.386
0.642 0.358 0.250
0.758 0.242 0.106
0.758 0.242 0.394
0.821 0.179 0.618
0.821 0.179 0.882
0.858 0.142 0.250
0.912 0.088 0.501
0.912 0.088 0.999
0.976 0.024 0.250
0.082 0.918 0.250
0.272 0.728 0.250
0.329 0.671 0.052
0.329 0.671 0.448
0.425 0.575 0.134
0.425 0.575 0.366
0.575 0.425 0.634
0.575 0.425 0.866
0.671 0.329 0.552
0.671 0.329 0.948
0.728 0.272 0.750
0.918 0.082 0.750
```

Summary:
The value obtained for the energy of formation from the pure elements is -32.9 kJ/mol of atoms.

***

Entry 12:
Below is an optimized crystal structure of LiNiRh2, with properties calculated at the GGA-PBEsol level.

POSCAR file:
```
LiNiRh2
1.0
4.236 -1.306 0.000
4.236 1.306 0.000
-0.752 0.000 4.483
Li Ni Rh
1 1 2
direct
0.000 0.000 0.000
0.500 0.500 0.500
0.241 0.241 0.746
0.759 0.759 0.254
```

Summary:
The value obtained for the energy of formation from the pure elements is 0.1 kJ/mol of atoms. The calculation puts the distance to the lowest polymorph of the same formula at 2.2 kJ/mol of atoms.

***

What did we get for volume? Answer: 136.3 74.5 131.4 117.1 90.6 36.0 63.8 95.0 101.3 100.3 548.8 49.6 Å³ per cell, in the order shown.